Record 1
Pm2Pr3Ho2 | GGA-PBE | optimized geometry

```
Pm2Pr3Ho2
1.0
23.368 0.000 0.000
0.000 5.868 0.000
-0.545 0.000 3.542
Pm Pr Ho
4 6 4
Direct
0.083 0.000 0.085 Pm
0.417 0.500 0.915 Pm
0.583 0.500 0.085 Pm
0.917 0.000 0.915 Pm
0.000 0.500 0.000 Pr
0.225 0.000 0.725 Pr
0.275 0.500 0.275 Pr
0.500 0.000 0.000 Pr
0.725 0.500 0.725 Pr
0.775 0.000 0.275 Pr
0.137 0.500 0.636 Ho
0.363 0.000 0.364 Ho
0.637 0.000 0.636 Ho
0.863 0.500 0.364 Ho
```

Total energy   -64.66 eV per cell
DOS(E_F)   26.06 states/eV per cell
Symmetry   C2/m, No. 12
Calculated formation energy   95 meV/atom
Energy above the most stable polymorph in this dataset   0.00 eV/f.u.


Record 2
K2AsCl | GGA-PBE | optimized geometry

```
K2AsCl
1.0
5.727 0.000 0.000
0.000 3.490 0.000
0.000 0.000 12.692
K As Cl
4 2 2
Direct
0.000 0.000 0.000 K
0.000 0.500 0.500 K
0.500 0.000 0.224 K
0.500 0.500 0.724 K
0.500 0.000 0.483 As
0.500 0.500 0.983 As
0.000 0.000 0.717 Cl
0.000 0.500 0.217 Cl
```

Total energy   -23.27 eV per cell
DOS(E_F)   4.09 states/eV per cell
Symmetry   Amm2, No. 38
Energy above the most stable polymorph in this dataset   0.69 eV/f.u.


Record 3
CaIrOs2 | GGA-PBE | optimized geometry

```
CaIrOs2
1.0
2.739 0.000 0.000
0.000 3.982 0.000
0.000 0.000 6.373
Ca Ir Os
1 1 2
Direct
0.000 0.000 0.000 Ca
0.000 0.000 0.500 Ir
0.500 0.500 0.303 Os
0.500 0.500 0.697 Os
```

Total energy   -31.36 eV per cell
DOS(E_F)   4.78 states/eV per cell
Symmetry   Pmmm, No. 47
Calculated formation energy   491 meV/atom
Energy above the most stable polymorph in this dataset   1.09 eV/f.u.


Record 4
NaTlGaPb | GGA-PBE | optimized geometry

```
NaTlGaPb
1.0
7.522 0.000 0.000
0.000 7.522 0.000
0.000 0.000 7.522
Na Tl Ga Pb
4 4 4 4
Direct
0.000 0.000 0.000 Na
0.000 0.500 0.500 Na
0.500 0.000 0.500 Na
0.500 0.500 0.000 Na
0.250 0.250 0.750 Tl
0.250 0.750 0.250 Tl
0.750 0.250 0.250 Tl
0.750 0.750 0.750 Tl
0.000 0.000 0.500 Ga
0.000 0.500 0.000 Ga
0.500 0.000 0.000 Ga
0.500 0.500 0.500 Ga
0.250 0.250 0.250 Pb
0.250 0.750 0.750 Pb
0.750 0.250 0.750 Pb
0.750 0.750 0.250 Pb
```

Total energy   -42.04 eV per cell
DOS(E_F)   9.61 states/eV per cell
Symmetry   F-43m, No. 216
Calculated formation energy   -22 meV/atom


Record 5
Ta2CoHg | GGA-PBE | optimized geometry

```
Ta2CoHg
1.0
6.494 0.000 0.000
0.000 6.494 0.000
0.000 0.000 6.494
Ta Co Hg
8 4 4
Direct
0.000 0.000 0.000 Ta
0.000 0.500 0.500 Ta
0.250 0.250 0.250 Ta
0.250 0.750 0.750 Ta
0.500 0.000 0.500 Ta
0.500 0.500 0.000 Ta
0.750 0.250 0.750 Ta
0.750 0.750 0.250 Ta
0.000 0.000 0.500 Co
0.000 0.500 0.000 Co
0.500 0.000 0.000 Co
0.500 0.500 0.500 Co
0.250 0.250 0.750 Hg
0.250 0.750 0.250 Hg
0.750 0.250 0.250 Hg
0.750 0.750 0.750 Hg
```

Total energy   -116.47 eV per cell
DOS(E_F)   12.56 states/eV per cell
Symmetry   F-43m, No. 216
Calculated formation energy   499 meV/atom